(1)
Here is crystalline Sc2PdF at its relaxed geometry from Alexandria via LeMat-Bulk. Energies are from GGA-PBE.

a b c (Å): 4.619 4.619 4.619
angles (deg): 60.00 60.00 60.00
Each line ends with the local moment (μB).
Positions (direct):
Sc1 0.250 0.250 0.250  0.33
Sc2 0.750 0.750 0.750  0.33
Pd1 0.500 0.500 0.500  0.02
F1 0.000 0.000 0.000  0.02

Calculated values
For the relative energy among the computed polymorphs, the calculation gives 453.5 meV per atom. As for the uncorrected formation energy: -1.1228 eV per atom.


(2)
Here is crystalline ScPdF3 at its relaxed geometry from Alexandria via LeMat-Bulk. Energies are from GGA-PBE.

a b c (Å): 4.139 4.139 4.139
angles (deg): 90.00 90.00 90.00
Positions (direct):
Pd1 0.500 0.500 0.500
Sc1 0.000 0.000 0.000
F1 0.000 0.000 0.500
F2 0.500 0.000 0.000
F3 0.000 0.500 0.000

Calculated values
For the relative energy among the computed polymorphs, the calculation gives 0.0 meV per atom. As for the uncorrected formation energy: -2.4994 eV per atom.


(3)
Here is crystalline ScTlPdF6 at its relaxed geometry from Alexandria via LeMat-Bulk. Energies are from GGA-PBE.

a b c (Å): 5.705 6.207 5.821
angles (deg): 92.70 91.43 57.41
Each line ends with the local moment (μB).
Positions (direct):
F1 0.619 0.384 0.648  0.00
F2 0.618 0.997 0.352  0.00
F3 0.004 0.650 0.659  0.00
F4 0.405 0.691 0.254  0.00
Pd1 0.323 0.338 0.499  0.06
F5 0.001 0.348 0.337  0.00
F6 0.412 0.900 0.751  0.00
Sc1 0.644 0.678 0.500  0.00
Tl1 0.975 0.012 0.000  0.00

Calculated values
As for the uncorrected formation energy: -2.5110 eV per atom.


(4)
Here is crystalline PdSeF3 at its relaxed geometry from Alexandria via LeMat-Bulk. Energies are from GGA-PBE.

a b c (Å): 6.623 7.851 12.379
angles (deg): 70.03 35.94 65.05
Positions (direct):
F1 0.459 0.860 0.613
Se1 0.454 0.704 0.150
F2 0.117 0.811 0.979
F3 0.983 0.475 0.786
F4 0.459 0.525 0.286
Pd1 0.792 0.036 0.693
F5 0.681 0.860 0.887
F6 0.017 0.525 0.214
Se2 0.842 0.704 0.350
Pd2 0.172 0.036 0.807
F7 0.928 0.189 0.479
Pd3 0.828 0.964 0.193
F8 0.319 0.140 0.113
F9 0.883 0.189 0.021
Se3 0.546 0.296 0.850
Se4 0.158 0.296 0.650
F10 0.541 0.475 0.714
F11 0.072 0.811 0.521
F12 0.541 0.140 0.387
Pd4 0.208 0.964 0.307

Calculated values
For the relative energy among the computed polymorphs, the calculation gives 0.0 meV per atom. As for the uncorrected formation energy: -1.1320 eV per atom.